A relaxed structure of Mn4CdHg, computed with GGA-PBE.

Output
energy of formation: 0.4800 eV/atom
DFT total energy: -140.06 eV for the cell shown
theoretical density: 9.908 g/cm3

a = 7.0951 Å, b = 7.0951 Å, c = 7.0951 Å
α = 90.00°, β = 90.00°, γ = 90.00°
Space group F-43m (No. 216)
Inequivalent atoms, fractional coordinates:
Mn  0.1246  0.1246  0.1246 [16 per cell]
Cd  0.2500  0.2500  0.7500 [4 per cell]
Hg  0.0000  0.0000  0.5000 [4 per cell]